Model 1:
A plane-wave DFT calculation with PBE-GGA was carried out for crystalline Rb8BiO2 at its relaxed geometry.

Its density of states at the Fermi level is 4.31 states/eV/f.u.

It has space group C2/m (No. 12), with a = 9.6192 Å, b = 22.3166 Å, c = 4.7141 Å, α = 90.00°, β = 90.78° and γ = 90.00°. The asymmetric unit holds Rb at (0.0000, 0.1701, 0.0000), Rb at (0.1253, 0.0000, 0.2498), Rb at (0.2032, 0.3803, 0.4356), Bi at (0.0000, 0.5000, 0.0000) and O at (0.0000, 0.0995, 0.5000).

Model 2:
A plane-wave DFT calculation with PBE-GGA was carried out for crystalline Rb8BiO2 at its relaxed geometry.

Its density of states at the Fermi level is 2.94 states/eV/f.u.

It has space group C2/m (No. 12), with a = 15.1642 Å, b = 12.4489 Å, c = 5.8586 Å, α = 90.00°, β = 112.16° and γ = 90.00°. The asymmetric unit holds Rb at (0.0000, 0.1915, 0.0000), Rb at (0.1264, 0.3367, 0.6241), Rb at (0.1283, 0.0000, 0.6278), Bi at (0.0000, 0.5000, 0.0000) and O at (0.0000, 0.1697, 0.5000).

Quick one: most stable of them? model 2

Model 1:
A plane-wave DFT calculation with PBE-GGA was carried out for crystalline Rb3BiO4 at its relaxed geometry.

It has space group Imm2 (No. 44), with a = 6.7663 Å, b = 9.1559 Å, c = 7.1664 Å, α = 90.00°, β = 90.00° and γ = 90.00°. The asymmetric unit holds Rb at (0.0000, 0.0000, 0.0000), Rb at (0.0000, 0.2286, 0.4508), Bi at (0.0000, 0.5000, 0.9380), O at (0.0000, 0.3120, 0.0906) and O at (0.2491, 0.5000, 0.7794).

Model 2:
A plane-wave DFT calculation with PBE-GGA was carried out for crystalline Rb3BiO4 at its relaxed geometry.

It has space group Pnma (No. 62), with a = 8.6295 Å, b = 9.2780 Å, c = 9.8488 Å, α = 90.00°, β = 90.00° and γ = 90.00°. The asymmetric unit holds Rb at (0.0411, 0.0138, 0.2466), Rb at (0.2012, 0.7500, 0.9927), Bi at (0.2096, 0.7500, 0.5074), O at (0.0030, 0.7500, 0.4062), O at (0.1741, 0.0651, 0.9595) and O at (0.1811, 0.7500, 0.7141).

Quick one: most stable of them? model 2